1.
Entry from Alexandria: a crystal of Na8Zr6BBr20 relaxed with PBEsol (SCAN).

Values from the calculation:
DOS(E_F) = 5.7 states/eV/cell
space-group type = Fm-3m, No. 225

Unit cell a=10.994 b=10.994 c=10.994 alpha=60.00 beta=60.00 gamma=60.00
Fractional positions:
Na 0.919 0.360 0.360
Na 0.081 0.640 0.640
Na 0.360 0.919 0.360
Na 0.360 0.360 0.919
Na 0.640 0.081 0.640
Na 0.640 0.640 0.081
Na 0.360 0.360 0.360
Na 0.640 0.640 0.640
Zr 0.853 0.147 0.147
Zr 0.147 0.853 0.853
Zr 0.853 0.147 0.853
Zr 0.147 0.853 0.147
Zr 0.853 0.853 0.147
Zr 0.147 0.147 0.853
B 0.000 0.000 0.000
Br 0.657 0.000 0.000
Br 0.343 0.000 0.000
Br 0.000 0.657 0.343
Br 0.000 0.343 0.657
Br 0.657 0.000 0.343
Br 0.000 0.343 0.000
Br 0.343 0.000 0.657
Br 0.000 0.657 0.000
Br 0.657 0.343 0.000
Br 0.343 0.657 0.000
Br 0.000 0.000 0.343
Br 0.000 0.000 0.657
Br 0.671 0.329 0.329
Br 0.329 0.671 0.671
Br 0.671 0.329 0.671
Br 0.329 0.671 0.329
Br 0.671 0.671 0.329
Br 0.329 0.329 0.671
Br 0.250 0.250 0.250
Br 0.750 0.750 0.750



2.
Entry from Alexandria: a crystal of SbPb2Au relaxed with PBEsol (SCAN).

Values from the calculation:
DOS(E_F) = 2.1 states/eV/cell
space-group type = Immm, No. 71

Unit cell a=3.825 b=4.329 c=7.087 alpha=107.78 beta=105.66 gamma=90.00
Fractional positions:
Au 0.000 0.500 0.000
Pb 0.684 0.684 0.369
Pb 0.316 0.316 0.631
Sb 0.500 0.000 0.000



Values for calculated density, g/cm³, ordered as above
4.1, 11.4
Values for size of the total moment, μB per cell, ordered as above
0.00, 0.00
Values for uncorrected formation energy, eV/atom, ordered as above
-1.5975, 0.0057